Below is a relaxed structure of PdCBrCl2, with properties calculated at the GGA-PBE level.

Computed properties:
- ρ (Mg/m³) = 3.20
- E (eV for the cell shown) = -10.6
- uncorrected formation energy (eV per atom) = 1.842

Lattice parameters (Å, degrees): 5.356 5.356 4.874 90.00 90.00 90.00
Atoms (fractional coordinates):
Pd 0.000 0.000 0.000
C 0.500 0.500 0.000
Br 0.000 0.000 0.500
Cl 0.000 0.500 0.500
Cl 0.500 0.000 0.500



Below is a relaxed structure of Tl2S, with properties calculated at the GGA-PBE level.

Computed properties:
- ρ (Mg/m³) = 7.67
- E (eV for the cell shown) = -29.7
- uncorrected formation energy (eV per atom) = -0.343

Lattice parameters (Å, degrees): 7.266 7.266 6.264 90.00 90.00 120.00
Atoms (fractional coordinates):
Tl 0.002 0.638 0.000
Tl 0.302 0.002 0.528
Tl 0.362 0.364 0.000
Tl 0.636 0.998 0.000
Tl 0.700 0.698 0.528
Tl 0.998 0.300 0.528
S 0.000 0.000 0.192
S 0.333 0.667 0.302
S 0.667 0.333 0.296



Below is a relaxed structure of Zr2RhSe, with properties calculated at the GGA-PBE level.

Computed properties:
- ρ (Mg/m³) = 8.12
- E (eV for the cell shown) = -31.0
- uncorrected formation energy (eV per atom) = -0.774

Lattice parameters (Å, degrees): 3.208 3.208 7.239 90.00 90.00 90.00
Atoms (fractional coordinates):
Zr 0.000 0.000 0.245
Zr 0.000 0.000 0.755
Rh 0.500 0.500 0.000
Se 0.500 0.500 0.500



Below is a relaxed structure of HfScBr, with properties calculated at the GGA-PBE level.

Computed properties:
- ρ (Mg/m³) = 7.73
- E (eV for the cell shown) = -38.3
- uncorrected formation energy (eV per atom) = -0.390

Lattice parameters (Å, degrees): 3.347 3.347 13.441 90.00 90.00 120.00
Atoms (fractional coordinates):
Hf 0.000 0.000 0.182
Hf 0.000 0.000 0.818
Sc 0.000 0.000 0.500
Sc 0.667 0.333 0.000
Br 0.667 0.333 0.345
Br 0.667 0.333 0.655



Below is a relaxed structure of Hf3Zr2In3, with properties calculated at the GGA-PBE level.

Computed properties:
- ρ (Mg/m³) = 10.01
- E (eV for the cell shown) = -56.8
- formation enthalpy at 0 K (eV per atom) = -0.205

Lattice parameters (Å, degrees): 4.398 4.399 9.111 90.00 90.00 90.00
Atoms (fractional coordinates):
Hf 0.000 0.000 0.000
Hf 0.000 0.500 0.246
Hf 0.000 0.500 0.754
Zr 0.500 0.000 0.249
Zr 0.500 0.000 0.751
In 0.000 0.000 0.500
In 0.500 0.500 0.000
In 0.500 0.500 0.500



Below is a relaxed structure of K2NaH6N3, with properties calculated at the GGA-PBE level.

Computed properties:
- ρ (Mg/m³) = 1.56
- E (eV for the cell shown) = -212.7

Lattice parameters (Å, degrees): 7.112 7.112 12.597 90.00 90.00 90.00
Atoms (fractional coordinates):
K 0.000 0.000 0.000
K 0.000 0.000 0.500
K 0.000 0.500 0.150
K 0.000 0.500 0.850
K 0.500 0.000 0.350
K 0.500 0.000 0.650
K 0.500 0.500 0.250
K 0.500 0.500 0.750
Na 0.332 0.635 0.500
Na 0.365 0.332 0.000
Na 0.635 0.668 0.000
Na 0.668 0.365 0.500
H 0.065 0.666 0.352
H 0.065 0.666 0.648
H 0.155 0.833 0.283
H 0.155 0.833 0.717
H 0.167 0.155 0.217
H 0.167 0.155 0.783
H 0.252 0.292 0.436
H 0.252 0.292 0.564
H 0.292 0.748 0.064
H 0.292 0.748 0.936
H 0.334 0.065 0.148
H 0.334 0.065 0.852
H 0.666 0.935 0.148
H 0.666 0.935 0.852
H 0.708 0.252 0.064
H 0.708 0.252 0.936
H 0.748 0.708 0.436
H 0.748 0.708 0.564
H 0.833 0.845 0.217
H 0.833 0.845 0.783
H 0.845 0.167 0.283
H 0.845 0.167 0.717
H 0.935 0.334 0.352
H 0.935 0.334 0.648
N 0.192 0.729 0.337
N 0.192 0.729 0.663
N 0.271 0.192 0.163
N 0.271 0.192 0.837
N 0.273 0.660 0.000
N 0.340 0.273 0.500
N 0.660 0.727 0.500
N 0.727 0.340 0.000
N 0.729 0.808 0.163
N 0.729 0.808 0.837
N 0.808 0.271 0.337
N 0.808 0.271 0.663



Below is a relaxed structure of Ba2LaIn2Bi4, with properties calculated at the GGA-PBE level.

Computed properties:
- ρ (Mg/m³) = 7.46
- E (eV for the cell shown) = -35.4
- formation enthalpy at 0 K (eV per atom) = -0.627

Lattice parameters (Å, degrees): 8.964 8.964 7.972 108.95 108.95 33.13
Atoms (fractional coordinates):
Ba 0.132 0.132 0.112
Ba 0.868 0.868 0.888
La 0.000 0.000 0.500
In 0.341 0.341 0.512
In 0.659 0.659 0.488
Bi 0.205 0.205 0.714
Bi 0.480 0.480 0.215
Bi 0.520 0.520 0.785
Bi 0.795 0.795 0.286



Below is a relaxed structure of Pa2Se4I, with properties calculated at the GGA-PBE level.

Computed properties:
- ρ (Mg/m³) = 7.11
- E (eV for the cell shown) = -86.4
- uncorrected formation energy (eV per atom) = -1.243

Lattice parameters (Å, degrees): 8.977 8.977 8.977 125.08 75.26 132.83
Atoms (fractional coordinates):
Pa 0.000 0.000 0.000
Pa 0.000 0.500 0.500
Pa 0.391 0.338 0.553
Pa 0.785 0.838 0.447
Se 0.069 0.352 0.679
Se 0.069 0.890 0.217
Se 0.122 0.979 0.643
Se 0.336 0.479 0.357
Se 0.673 0.390 0.321
Se 0.673 0.852 0.783
Se 0.720 0.473 0.748
Se 0.725 0.973 0.252
I 0.104 0.477 0.127
I 0.350 0.977 0.873



Below is a relaxed structure of Pu2Ge3SbRh4, with properties calculated at the GGA-PBE level.

Computed properties:
- ρ (Mg/m³) = 10.86
- E (eV for the cell shown) = -82.2
- uncorrected formation energy (eV per atom) = -0.612

Lattice parameters (Å, degrees): 4.281 4.281 10.335 90.00 90.00 90.00
Atoms (fractional coordinates):
Pu 0.000 0.500 0.245
Pu 0.500 0.000 0.755
Ge 0.000 0.500 0.874
Ge 0.500 0.000 0.126
Ge 0.500 0.500 0.500
Sb 0.000 0.000 0.500
Rh 0.000 0.000 0.000
Rh 0.000 0.500 0.639
Rh 0.500 0.000 0.361
Rh 0.500 0.500 0.000



Below is a relaxed structure of Li6TlIn3, with properties calculated at the GGA-PBE level.

Computed properties:
- ρ (Mg/m³) = 5.12
- E (eV for the cell shown) = -49.5
- formation enthalpy at 0 K (eV per atom) = -0.268

Lattice parameters (Å, degrees): 8.367 4.704 10.060 90.00 104.49 90.00
Atoms (fractional coordinates):
Li 0.050 0.250 0.396
Li 0.148 0.750 0.204
Li 0.252 0.250 0.992
Li 0.343 0.750 0.802
Li 0.353 0.250 0.303
Li 0.450 0.250 0.601
Li 0.550 0.750 0.399
Li 0.647 0.750 0.697
Li 0.657 0.250 0.198
Li 0.748 0.750 0.008
Li 0.852 0.250 0.796
Li 0.950 0.750 0.604
Tl 0.443 0.750 0.104
Tl 0.557 0.250 0.896
In 0.041 0.750 0.902
In 0.145 0.250 0.689
In 0.255 0.750 0.500
In 0.745 0.250 0.500
In 0.855 0.750 0.311
In 0.959 0.250 0.098



Below is a relaxed structure of Sb2PBr, with properties calculated at the GGA-PBE level.

Computed properties:
- ρ (Mg/m³) = 5.47
- E (eV for the cell shown) = -14.8
- uncorrected formation energy (eV per atom) = 0.126

Lattice parameters (Å, degrees): 3.174 4.220 8.040 90.00 90.00 90.00
Atoms (fractional coordinates):
Sb 0.000 0.000 0.219
Sb 0.000 0.000 0.781
P 0.000 0.500 0.000
Br 0.000 0.500 0.500



Below is a relaxed structure of ZnGaSn2, with properties calculated at the GGA-PBE level.

Computed properties:
- ρ (Mg/m³) = 6.34
- E (eV for the cell shown) = -12.0
- formation enthalpy at 0 K (eV per atom) = 0.089

Lattice parameters (Å, degrees): 6.367 6.367 6.367 40.35 40.35 40.35
Atoms (fractional coordinates):
Zn 0.000 0.000 0.000
Ga 0.162 0.162 0.162
Sn 0.409 0.409 0.409
Sn 0.587 0.587 0.587



What is the ρ in the third record?
8.12 Mg/m³



Please write out number 7 again, unchanged.
Below is a relaxed structure of Ba2LaIn2Bi4, with properties calculated at the GGA-PBE level.

Computed properties:
- ρ (Mg/m³) = 7.46
- E (eV for the cell shown) = -35.4
- formation enthalpy at 0 K (eV per atom) = -0.627

Lattice parameters (Å, degrees): 8.964 8.964 7.972 108.95 108.95 33.13
Atoms (fractional coordinates):
Ba 0.132 0.132 0.112
Ba 0.868 0.868 0.888
La 0.000 0.000 0.500
In 0.341 0.341 0.512
In 0.659 0.659 0.488
Bi 0.205 0.205 0.714
Bi 0.480 0.480 0.215
Bi 0.520 0.520 0.785
Bi 0.795 0.795 0.286